VASP calculation (GGA+U) on a geometry-optimized PaCoO3 structure.

abc: 4.4324 4.4324 4.2738
angles: 90.00 90.00 90.00
Space group P4mm (No. 99)
Unique sites:
Pa  0.0000  0.0000  0.0000 x1
Co  0.5000  0.5000  0.9480 x1
O  0.0000  0.0000  0.4978 x1
O  0.0000  0.5000  0.9812 x2

Values from the calculation:
calculated total energy: -7.73 eV/atom
magnetic moment: 0.0 μB per cell